Record 1
The following is a GGA-PBE calculation of Tb4HgGeSe2 after structural relaxation, from Alexandria via LeMat-Bulk.

Computed properties:
Energy relative to the elements, uncorrected   -1208 meV/atom
Space group   I-4m2, No. 119
Electronic total energy   -40.07 eV per formula unit

```
Tb4HgGeSe2
1.0
-1.703 5.556 1.130
-5.082 -2.019 2.266
5.897 -2.086 3.636
Ge Hg Tb Se
1 1 4 2
direct
0.750 0.250 0.500
0.500 0.500 0.000
0.999 0.499 0.998
0.501 0.001 0.002
0.242 0.242 0.483
0.758 0.758 0.517
0.250 0.750 0.500
0.000 0.000 0.000
```

=====

Record 2
The following is a GGA-PBE calculation of Hg2GeTeSe2 after structural relaxation, from Alexandria via LeMat-Bulk.

Computed properties:
Energy relative to the elements, uncorrected   -104 meV/atom
Space group   Cmc2_1, No. 36
Electronic total energy   -15.96 eV per formula unit

```
Hg2GeTeSe2
1.0
-6.666 -1.491 0.508
1.279 -6.453 -2.155
0.415 0.999 8.373
Se Hg Ge Te
4 4 2 2
direct
0.205 0.889 0.346
0.705 0.111 0.654
0.205 0.544 0.654
0.705 0.456 0.346
0.314 0.505 0.331
0.814 0.826 0.331
0.314 0.174 0.669
0.814 0.494 0.669
0.262 0.782 0.000
0.762 0.218 0.000
0.174 0.177 0.000
0.674 0.823 0.000
```

=====

Record 3
The following is a GGA-PBE calculation of HgGeTe2Se after structural relaxation, from Alexandria via LeMat-Bulk.

Computed properties:
Energy relative to the elements, uncorrected   484 meV/atom
Space group   P4/mmm, No. 123
Electronic total energy   -12.27 eV per formula unit

```
HgGeTe2Se
1.0
-3.704 -1.593 3.794
3.910 -1.842 3.044
0.405 4.940 2.468
Ge Te Hg Se
1 2 1 1
direct
0.000 0.500 0.000
0.500 0.000 0.000
0.000 0.000 0.500
0.500 0.500 0.500
0.000 0.000 0.000
```

=====

Record 4
The following is a GGA-PBE calculation of Hg2GeTe2Se after structural relaxation, from Alexandria via LeMat-Bulk.

Computed properties:
Energy relative to the elements, uncorrected   -105 meV/atom
Space group   Cmc2_1, No. 36
Electronic total energy   -15.62 eV per formula unit

```
Hg2GeTe2Se
1.0
7.831 0.000 0.000
0.000 7.598 0.000
0.000 -3.799 6.438
Te Se Ge Hg
4 2 2 4
direct
0.642 0.241 0.690
0.142 0.759 0.310
0.142 0.450 0.690
0.642 0.550 0.310
0.193 0.047 0.000
0.693 0.953 0.000
0.847 0.246 0.000
0.347 0.754 0.000
0.324 0.385 0.332
0.824 0.947 0.332
0.824 0.615 0.668
0.324 0.053 0.668
```

=====

Record 5
The following is a GGA-PBE calculation of Th6HgGe2Se3 after structural relaxation, from Alexandria via LeMat-Bulk.

Computed properties:
Energy relative to the elements, uncorrected   -1066 meV/atom
Space group   C2/m, No. 12
Electronic total energy   -77.30 eV per formula unit

```
Th6HgGe2Se3
1.0
-1.314 -2.930 2.842
7.044 1.410 4.710
-5.210 7.653 2.246
Se Th Ge Hg
3 6 2 1
direct
0.164 0.833 0.328
0.500 0.500 0.000
0.836 0.167 0.672
0.996 0.740 0.993
0.332 0.420 0.664
0.671 0.092 0.341
0.329 0.908 0.659
0.004 0.260 0.007
0.668 0.580 0.336
0.832 0.665 0.664
0.168 0.335 0.336
0.500 0.000 0.000
```

=====

Record 6
The following is a GGA-PBE calculation of TlHgGeSe4 after structural relaxation, from Alexandria via LeMat-Bulk.

Computed properties:
Energy relative to the elements, uncorrected   -182 meV/atom
Space group   P2_1/m, No. 11
Electronic total energy   -22.50 eV per formula unit

```
TlHgGeSe4
1.0
6.982 0.000 0.001
0.000 6.524 0.000
-2.758 0.000 9.669
Ge Se Hg Tl
2 8 2 2
direct
0.230 0.750 0.291
0.770 0.250 0.709
0.002 0.524 0.722
0.002 0.976 0.722
0.625 0.250 0.895
0.375 0.750 0.105
0.998 0.476 0.278
0.998 0.024 0.278
0.493 0.250 0.498
0.507 0.750 0.502
0.735 0.750 0.330
0.265 0.250 0.670
0.804 0.750 0.969
0.196 0.250 0.031
```

=====

Record 7
The following is a GGA-PBE calculation of Tl2HgGeSe4 after structural relaxation, from Alexandria via LeMat-Bulk.

Computed properties:
Energy relative to the elements, uncorrected   -205 meV/atom
Space group   C2/c, No. 15
Electronic total energy   -25.23 eV per formula unit

```
Tl2HgGeSe4
1.0
8.332 0.054 -0.098
0.048 8.332 -0.098
-4.216 -4.219 6.038
Se Tl Ge Hg
8 4 2 2
direct
0.747 0.274 0.510
0.245 0.255 0.473
0.226 0.753 0.990
0.253 0.726 0.490
0.755 0.745 0.527
0.774 0.247 0.010
0.245 0.255 0.027
0.755 0.745 0.973
0.500 0.000 0.500
0.500 0.000 0.000
0.000 0.000 0.500
0.500 0.500 0.000
0.000 0.000 0.000
0.500 0.500 0.500
0.000 0.500 0.500
0.000 0.500 0.000
```

=====

Record 8
The following is a GGA-PBE calculation of TlHgGe2Se6 after structural relaxation, from Alexandria via LeMat-Bulk.

Computed properties:
Energy relative to the elements, uncorrected   -187 meV/atom
Space group   C2/c, No. 15
Electronic total energy   -34.68 eV per formula unit

```
TlHgGe2Se6
1.0
-1.643 4.947 4.708
-1.528 -4.892 8.110
8.468 2.733 3.585
Se Ge Tl Hg
12 4 2 2
direct
0.818 0.041 0.185
0.012 0.692 0.566
0.182 0.959 0.815
0.682 0.815 0.959
0.512 0.566 0.692
0.592 0.124 0.593
0.092 0.593 0.124
0.488 0.434 0.308
0.988 0.308 0.434
0.908 0.407 0.876
0.408 0.876 0.407
0.318 0.185 0.041
0.723 0.225 0.364
0.277 0.775 0.636
0.223 0.364 0.225
0.777 0.636 0.775
0.750 0.125 0.875
0.250 0.875 0.125
0.250 0.283 0.717
0.750 0.717 0.283
```

=====

Record 9
The following is a GGA-PBE calculation of TlHg2GeSe4 after structural relaxation, from Alexandria via LeMat-Bulk.

Computed properties:
Energy relative to the elements, uncorrected   -214 meV/atom
Space group   I222, No. 23
Electronic total energy   -23.24 eV per formula unit

```
TlHg2GeSe4
1.0
-0.513 1.669 7.159
-2.918 -4.109 4.542
5.023 -1.133 4.416
Hg Se Ge Tl
2 4 1 1
direct
0.500 0.267 0.733
0.500 0.733 0.267
0.621 0.531 0.846
0.379 0.154 0.469
0.997 0.469 0.154
0.003 0.846 0.531
0.000 0.500 0.500
0.000 0.000 0.000
```

=====

Record 10
The following is a GGA-PBE calculation of Tm6HgGe2Se3 after structural relaxation, from Alexandria via LeMat-Bulk.

Computed properties:
Energy relative to the elements, uncorrected   -1224 meV/atom
Space group   C2/m, No. 12
Electronic total energy   -61.51 eV per formula unit

```
Tm6HgGe2Se3
1.0
-2.967 0.319 -2.764
0.141 -8.236 -1.102
-4.474 1.663 7.987
Tm Hg Ge Se
6 1 2 3
direct
0.998 0.260 0.996
0.330 0.913 0.659
0.672 0.567 0.344
0.670 0.087 0.341
0.002 0.740 0.004
0.328 0.433 0.656
0.500 0.000 0.000
0.839 0.680 0.677
0.161 0.320 0.323
0.500 0.500 0.000
0.832 0.175 0.664
0.168 0.825 0.336
```

=====

Record 11
The following is a GGA-PBE calculation of ZrHg2GeSe after structural relaxation, from Alexandria via LeMat-Bulk.

Computed properties:
Energy relative to the elements, uncorrected   366 meV/atom
Space group   P4/mmm, No. 123
Electronic total energy   -15.42 eV per formula unit

```
ZrHg2GeSe
1.0
-3.471 3.239 -3.018
0.034 -3.419 -3.708
-4.427 -2.572 2.331
Hg Ge Se Zr
2 1 1 1
direct
0.000 0.000 0.500
0.500 0.000 0.000
0.500 0.500 0.500
0.000 0.500 0.000
0.000 0.000 0.000
```

=====

Record 12
The following is a GGA-PBE calculation of SiHg2Ge after structural relaxation, from Alexandria via LeMat-Bulk.

Computed properties:
Energy relative to the elements, uncorrected   437 meV/atom
Energy relative to the lowest polymorph listed for this composition   0 meV/atom
Space group   I-42d, No. 122
Electronic total energy   -8.90 eV per formula unit

```
SiHg2Ge
1.0
-1.055 -1.788 -7.519
7.728 -0.228 -1.030
3.343 -3.831 -3.604
Hg Si Ge
4 2 2
direct
0.875 0.856 0.750
0.375 0.394 0.750
0.144 0.625 0.250
0.606 0.125 0.250
0.500 0.500 0.000
0.250 0.750 0.500
0.750 0.250 0.500
0.000 0.000 0.000
```